Below is CeThZnHg after structural relaxation, with properties calculated at the PBE-GGA level.

The structure in POSCAR format:
```
CeThZnHg
1.0
5.3036 0.0000 0.0000
2.6518 4.5931 0.0000
2.6518 1.5310 4.3304
Zn Ce Hg Th
1 1 1 1
Cartesian
0.0000 0.0000 0.0000
2.6518 1.5310 1.0826
5.3036 3.0621 2.1652
7.9555 4.5931 3.2478
```

Results
SG: No. 216
Energy relative to the elements: -0.161 eV per atom

---

Below is CaYPb4 after structural relaxation, with properties calculated at the PBE-GGA level.

The structure in POSCAR format:
```
CaYPb4
1.0
5.8458 0.3179 0.2750
0.5094 5.0652 2.8975
0.1803 -0.1147 6.0897
Ca Y Pb
1 1 4
Cartesian
3.0208 0.1123 3.1603
0.3522 2.4855 4.4715
3.2994 3.4985 3.1127
3.2515 1.7911 6.1057
0.1231 0.8404 1.4664
0.5825 4.1303 7.4763
```

Results
SG: No. 12
E above lowest polymorph: 0 meV per atom
Energy relative to the elements: -0.234 eV per atom

---

Below is CrCuW3 after structural relaxation, with properties calculated at the PBE-GGA level.

The structure in POSCAR format:
```
CrCuW3
1.0
4.4571 0.0000 0.0000
0.0000 4.4571 0.0000
0.0000 0.0000 4.4571
Cr Cu W
1 1 3
Cartesian
2.2285 2.2285 2.2285
0.0000 0.0000 0.0000
0.0000 2.2285 0.0000
0.0000 0.0000 2.2285
2.2285 0.0000 0.0000
```

Results
SG: No. 221
E above lowest polymorph: 483 meV per atom
Energy relative to the elements: 2.116 eV per atom

---

Below is K2MgGeI6 after structural relaxation, with properties calculated at the PBE-GGA level.

The structure in POSCAR format:
```
K2MgGeI6
1.0
8.0362 0.0000 -0.0184
0.0000 8.3716 0.0000
0.0430 0.0000 11.5547
K Mg Ge I
4 2 2 12
Cartesian
0.2379 7.6889 2.8829
4.2775 4.8685 8.6511
7.8414 0.6827 8.6533
3.8018 3.5031 2.8852
4.0396 0.0000 5.7681
0.0000 4.1858 0.0000
4.0181 0.0000 -0.0092
0.0215 4.1858 5.7773
2.4323 5.8157 0.5405
6.4719 6.7417 6.3086
5.6469 2.5559 10.9957
1.6073 1.6299 5.2276
2.5021 5.8672 5.2239
6.5418 6.6902 10.9920
5.5771 2.5044 6.3124
1.5375 1.6814 0.5443
7.2606 4.2992 2.8303
3.2640 8.2581 8.6168
0.8187 4.0723 8.7059
4.8153 0.1135 2.9194
```

Results
SG: No. 14
E_form (uncorrected): -92.8 kJ/mol of atoms

---

Below is TlReSe2 after structural relaxation, with properties calculated at the PBE-GGA level.

The structure in POSCAR format:
```
TlReSe2
1.0
-3.1511 0.6083 0.4271
0.0098 -1.7135 2.5129
2.1968 7.7366 5.1889
Re Se Tl
1 2 1
Cartesian
0.0794 4.8215 5.9899
2.0822 6.0166 6.7929
1.2278 3.0180 4.7599
-1.0239 1.8099 2.1390
```

Results
SG: No. 10
E above lowest polymorph: 237 meV per atom
E_form (uncorrected): 23.1 kJ/mol of atoms

---

Below is Al2CdW after structural relaxation, with properties calculated at the PBE-GGA level.

The structure in POSCAR format:
```
Al2CdW
1.0
-4.1139 -1.2088 -1.6286
-3.2830 -1.4062 2.8779
-3.6514 2.6610 0.7898
Al W Cd
2 1 1
Cartesian
0.0000 0.0000 0.0000
-8.2862 0.0345 1.5294
-2.7621 0.0115 0.5098
-5.5241 0.0230 1.0196
```

Results
SG: No. 216
Energy relative to the elements: 0.610 eV per atom

---

Below is Zn3RuO after structural relaxation, with properties calculated at the PBE-GGA level.

The structure in POSCAR format:
```
Zn3RuO
1.0
-0.7470 -3.7787 -2.8762
-1.0175 -2.7166 3.8332
-4.6385 1.2045 -0.3777
Ru Zn O
1 3 1
Cartesian
0.0000 0.0000 0.0000
-0.5088 -1.3583 1.9166
-2.3192 0.6022 -0.1888
-0.3735 -1.8893 -1.4381
-3.2015 -2.6454 0.2897
```

Results
SG: No. 221
E above lowest polymorph: 960 meV per atom
E_form (uncorrected): 92.3 kJ/mol of atoms

---

Below is NdPuTh2 after structural relaxation, with properties calculated at the PBE-GGA level.

The structure in POSCAR format:
```
NdPuTh2
1.0
3.4711 0.0000 0.0000
1.7356 3.0061 0.0000
1.7356 1.0020 12.3195
Nd Th Pu
1 2 1
Cartesian
0.0000 0.0000 0.0000
1.7356 1.0020 8.9790
5.2067 3.0061 3.3405
3.4711 2.0041 6.1598
```

Results
SG: No. 166
E above lowest polymorph: 162 meV per atom
Energy relative to the elements: 0.283 eV per atom

---

Below is CuSbAu after structural relaxation, with properties calculated at the PBE-GGA level.

The structure in POSCAR format:
```
CuSbAu
1.0
4.5018 0.0000 0.0000
2.2509 3.8987 0.0000
2.2509 1.2996 3.6757
Au Cu Sb
1 1 1
Cartesian
0.0000 0.0000 0.0000
4.5018 2.5991 1.8378
2.2509 1.2996 0.9189
```

Results
SG: No. 216
E above lowest polymorph: 137 meV per atom
E_form (uncorrected): 12.4 kJ/mol of atoms

---

Below is Sm5ScSb4 after structural relaxation, with properties calculated at the PBE-GGA level.

The structure in POSCAR format:
```
Sm5ScSb4
1.0
4.3129 0.0000 0.0000
0.0000 8.4293 -0.5730
-2.1564 -1.8118 9.2126
Sm Sc Sb
5 1 4
Cartesian
2.1564 4.2946 5.6362
2.1564 0.2881 6.0359
0.0000 6.3294 2.6037
2.1564 4.2147 -0.2865
0.0000 2.3229 3.0034
2.1564 0.0000 0.0000
0.0000 6.5079 5.6781
2.1564 4.6017 8.7018
2.1564 0.1097 2.9615
0.0000 2.0158 -0.0622
```

Results
SG: No. 12
E_form (uncorrected): -71.4 kJ/mol of atoms

---

Below is Ac2MgIr after structural relaxation, with properties calculated at the PBE-GGA level.

The structure in POSCAR format:
```
Ac2MgIr
1.0
-4.5662 -2.4723 0.4085
4.4079 -2.7335 -0.4778
0.5331 -0.0884 5.4241
Ac Mg Ir
2 1 1
Cartesian
1.5208 -2.6637 0.8785
-1.1460 -2.6304 4.4764
0.2666 -0.0442 2.7121
0.0000 0.0000 0.0000
```

Results
SG: No. 164
Energy relative to the elements: -0.301 eV per atom

---

Below is HgTeAu2 after structural relaxation, with properties calculated at the PBE-GGA level.

The structure in POSCAR format:
```
HgTeAu2
1.0
3.9042 0.0000 0.0000
0.0000 6.4049 0.0000
0.0000 0.0000 3.9847
Au Hg Te
2 1 1
Cartesian
0.0000 0.0000 0.0000
1.9521 3.2025 0.0000
1.9521 0.0000 1.9923
0.0000 3.2025 1.9923
```

Results
SG: No. 47
E above lowest polymorph: 126 meV per atom
E_form (uncorrected): 15.4 kJ/mol of atoms

---

Below is Cr2SiGe after structural relaxation, with properties calculated at the PBE-GGA level.

The structure in POSCAR format:
```
Cr2SiGe
1.0
2.7411 0.0000 0.0000
1.3706 2.3739 0.0000
1.3706 0.7913 7.9725
Cr Ge Si
2 1 1
Cartesian
1.3706 0.7913 1.9475
4.1117 2.3739 6.0249
2.7411 1.5826 3.9862
0.0000 0.0000 0.0000
```

Results
SG: No. 166
E_form (uncorrected): 12.8 kJ/mol of atoms

---

Below is RbAuF2 after structural relaxation, with properties calculated at the PBE-GGA level.

The structure in POSCAR format:
```
RbAuF2
1.0
2.4429 0.0000 6.7750
-1.2214 2.1156 6.7750
-1.2214 -2.1156 6.7750
Au Rb F
1 1 2
Cartesian
0.0000 0.0000 0.0000
0.0000 0.0000 10.1625
0.0000 0.0000 18.3055
0.0000 0.0000 2.0196
```

Results
SG: No. 166
E above lowest polymorph: 5 meV per atom
E_form (uncorrected): -165.5 kJ/mol of atoms

---

Below is Sc2Tc2Te after structural relaxation, with properties calculated at the PBE-GGA level.

The structure in POSCAR format:
```
Sc2Tc2Te
1.0
-0.1667 6.7292 0.5877
-6.7544 -0.1732 0.0667
0.0522 -0.3753 4.3120
Sc Te Tc
4 2 4
Cartesian
-4.5479 0.8594 2.3025
-5.6725 4.1973 2.6066
-2.3210 5.3213 2.6639
-1.1964 1.9834 2.3598
0.0000 0.0000 0.0000
-3.4605 3.2780 0.3272
-5.9751 2.3743 0.2790
-4.3650 5.7823 0.5561
-0.9460 4.1818 0.3754
-2.5561 0.7737 0.0983
```

Results
SG: No. 127
E above lowest polymorph: 0 meV per atom
E_form (uncorrected): -18.5 kJ/mol of atoms

---

Below is Ba4PS2Cl after structural relaxation, with properties calculated at the PBE-GGA level.

The structure in POSCAR format:
```
Ba4PS2Cl
1.0
4.6213 0.0000 0.0000
0.0000 7.9613 0.1850
0.0000 -2.7408 7.4702
Ba P S Cl
4 1 2 1
Cartesian
2.3107 1.4198 1.9995
2.3107 3.8008 5.6557
0.0000 0.0020 5.6506
0.0000 5.2185 2.0046
2.3107 3.9806 0.0925
2.3107 -1.3704 3.7351
0.0000 2.6103 3.8276
0.0000 0.0000 0.0000
```

Results
SG: No. 10
E_form (uncorrected): -177.8 kJ/mol of atoms

---

Below is Cs2CdI after structural relaxation, with properties calculated at the PBE-GGA level.

The structure in POSCAR format:
```
Cs2CdI
1.0
-6.0648 -0.1138 2.9235
-5.2974 2.7374 -3.1282
-4.8581 -3.9503 -2.4771
Cs I Cd
2 1 1
Cartesian
-4.0551 -0.3317 -0.6704
-12.1653 -0.9950 -2.0113
-8.1102 -0.6633 -1.3409
0.0000 0.0000 0.0000
```

Results
SG: No. 225
E above lowest polymorph: 169 meV per atom
E_form (uncorrected): -59.0 kJ/mol of atoms

---

Below is AgSnS after structural relaxation, with properties calculated at the PBE-GGA level.

The structure in POSCAR format:
```
AgSnS
1.0
-0.2905 3.6916 -3.7587
-2.6597 -2.0122 -1.7707
-0.9844 2.5625 2.5928
S Sn Ag
1 1 1
Cartesian
-1.6407 2.2815 -0.1282
-0.0037 0.0465 -0.0473
-2.2902 1.9139 -2.7611
```

Results
SG: No. 156
E_form (uncorrected): -11.5 kJ/mol of atoms

---

Below is AlCr2Mo after structural relaxation, with properties calculated at the PBE-GGA level.

The structure in POSCAR format:
```
AlCr2Mo
1.0
-3.2044 -3.9175 -6.8397
-1.6610 -5.9838 -5.8165
-4.2293 -5.5628 -4.8544
Cr Mo Al
2 1 1
Cartesian
-9.0237 -15.3435 -17.3740
-2.3524 -3.9999 -4.5292
-4.5835 -7.7935 -8.8249
-6.7771 -11.5234 -13.0483
```

Results
SG: No. 160
Energy relative to the elements: 0.219 eV per atom

---

Below is KPRh2 after structural relaxation, with properties calculated at the PBE-GGA level.

The structure in POSCAR format:
```
KPRh2
1.0
7.3136 0.0000 0.0000
0.0000 7.3136 0.0000
3.6568 3.6568 3.2335
P K Rh
2 2 4
Cartesian
3.6568 3.6568 0.0000
3.6568 7.3136 1.6167
0.0000 0.0000 0.0000
7.3136 3.6568 1.6167
4.5857 1.8284 0.8084
2.7279 5.4852 0.8084
5.4852 6.3847 2.4251
9.1420 8.2425 2.4251
```

Results
SG: No. 122
Energy relative to the elements: -0.093 eV per atom

---

no.,calculated density (g cm⁻³)
1,10.0
2,8.8
3,12.5
4,4.0
5,9.7
6,8.5
7,4.7
8,11.0
9,9.8
10,6.5
11,8.7
12,12.0
13,6.6
14,5.1
15,6.9
16,4.1
17,3.9
18,6.6
19,6.8
20,5.3